[1]
{
  "formula": "TbSmO2",
  "functional": "GGA-PBE",
  "state": "optimized geometry",
  "relative_energy_mev_per_atom": 0,
  "e_tot_ev_per_atom": -7.6216,
  "m_tot_mub_per_fu": 0.00,
  "e_form_raw_ev_per_atom": -2.8051,
  "lattice_angstrom": [[3.4442, 0.0000, 0.0000], [-1.7221, 2.9828, 0.0000], [0.0000, 0.0000, 17.5196]],
  "species": ["Tb", "Tb", "Tb", "Sm", "Sm", "Sm", "O", "O", "O", "O", "O", "O"],
  "frac_coords": [[0.0000, 0.0000, 0.0000], [0.3333, 0.6667, 0.6667], [0.6667, 0.3333, 0.3333], [0.0000, 0.0000, 0.5000], [0.3333, 0.6667, 0.1667], [0.6667, 0.3333, 0.8333], [0.0000, 0.0000, 0.2615], [0.0000, 0.0000, 0.7385], [0.3333, 0.6667, 0.4051], [0.3333, 0.6667, 0.9282], [0.6667, 0.3333, 0.0718], [0.6667, 0.3333, 0.5949]]
}

[2]
{
  "formula": "Tb2SmTcO8",
  "functional": "GGA-PBE",
  "state": "optimized geometry",
  "e_tot_ev_per_atom": -7.9361,
  "m_tot_mub_per_fu": 0.00,
  "e_form_raw_ev_per_atom": -2.6019,
  "lattice_angstrom": [[3.5926, -3.6004, 0.0000], [3.5926, 3.6004, 0.0000], [0.0000, 0.0000, 6.8286]],
  "species": ["Tb", "Tb", "Sm", "Tc", "O", "O", "O", "O", "O", "O", "O", "O"],
  "frac_coords": [[0.0000, 0.0000, 0.2498], [0.0000, 0.0000, 0.7502], [0.5000, 0.5000, 0.0000], [0.5000, 0.5000, 0.5000], [0.1883, 0.1883, 0.0000], [0.2351, 0.2351, 0.5000], [0.3177, 0.6823, 0.2960], [0.3177, 0.6823, 0.7040], [0.6823, 0.3177, 0.2960], [0.6823, 0.3177, 0.7040], [0.7649, 0.7649, 0.5000], [0.8117, 0.8117, 0.0000]]
}

[3]
{
  "formula": "TbSmTeO2",
  "functional": "GGA-PBE",
  "state": "optimized geometry",
  "e_tot_ev_per_atom": -7.4242,
  "m_tot_mub_per_fu": 0.00,
  "e_form_raw_ev_per_atom": -2.9427,
  "lattice_angstrom": [[6.8953, 0.0000, 0.0000], [0.0000, 4.1280, 0.0000], [-2.2698, 0.0000, 7.5493]],
  "species": ["Tb", "Tb", "Sm", "Sm", "Te", "Te", "O", "O", "O", "O"],
  "frac_coords": [[0.1608, 0.2500, 0.4120], [0.8392, 0.7500, 0.5880], [0.1734, 0.2500, 0.9231], [0.8266, 0.7500, 0.0769], [0.4508, 0.7500, 0.2445], [0.5492, 0.2500, 0.7555], [0.0069, 0.7500, 0.3811], [0.0176, 0.7500, 0.8749], [0.9824, 0.2500, 0.1251], [0.9931, 0.2500, 0.6189]]
}

[4]
{
  "formula": "TbSm2TeO8",
  "functional": "GGA-PBE",
  "state": "optimized geometry",
  "e_tot_ev_per_atom": -7.1856,
  "m_tot_mub_per_fu": 0.90,
  "e_form_raw_ev_per_atom": -2.4459,
  "lattice_angstrom": [[5.1343, 0.0000, 0.0000], [0.0000, 6.9685, 0.0000], [-0.0814, 0.0000, 5.1378]],
  "species": ["Tb", "Sm", "Sm", "Te", "O", "O", "O", "O", "O", "O", "O", "O"],
  "frac_coords": [[0.0000, 0.0000, 0.0000], [0.5000, 0.2515, 0.5000], [0.5000, 0.7485, 0.5000], [0.0000, 0.5000, 0.0000], [0.1785, 0.2899, 0.8205], [0.1785, 0.7101, 0.8205], [0.2698, 0.5000, 0.2685], [0.3061, 0.0000, 0.3050], [0.6939, 0.0000, 0.6950], [0.7302, 0.5000, 0.7315], [0.8215, 0.2899, 0.1795], [0.8215, 0.7101, 0.1795]]
}

[5]
{
  "formula": "TbSm12Tl4O3",
  "functional": "GGA-PBE",
  "state": "optimized geometry",
  "e_tot_ev_per_atom": -5.0100,
  "m_tot_mub_per_fu": 0.00,
  "e_form_raw_ev_per_atom": -0.7300,
  "lattice_angstrom": [[-5.1067, 5.1067, 5.1067], [5.1067, -5.1067, 5.1067], [5.1067, 5.1067, -5.1067]],
  "species": ["Tb", "Sm", "Sm", "Sm", "Sm", "Sm", "Sm", "Sm", "Sm", "Sm", "Sm", "Sm", "Sm", "Tl", "Tl", "Tl", "Tl", "O", "O", "O"],
  "frac_coords": [[0.0000, 0.0000, 0.0000], [0.0000, 0.2754, 0.2754], [0.0000, 0.7246, 0.7246], [0.2500, 0.5000, 0.7500], [0.2500, 0.7500, 0.5000], [0.2754, 0.0000, 0.2754], [0.2754, 0.2754, 0.0000], [0.5000, 0.2500, 0.7500], [0.5000, 0.7500, 0.2500], [0.7246, 0.0000, 0.7246], [0.7246, 0.7246, 0.0000], [0.7500, 0.2500, 0.5000], [0.7500, 0.5000, 0.2500], [0.0000, 0.0000, 0.5000], [0.0000, 0.5000, 0.0000], [0.5000, 0.0000, 0.0000], [0.5000, 0.5000, 0.5000], [0.0000, 0.5000, 0.5000], [0.5000, 0.0000, 0.5000], [0.5000, 0.5000, 0.0000]]
}

[6]
{
  "formula": "TbSm3Tl2O",
  "functional": "GGA-PBE",
  "state": "optimized geometry",
  "e_tot_ev_per_atom": -5.1208,
  "m_tot_mub_per_fu": 0.00,
  "e_form_raw_ev_per_atom": -1.0525,
  "lattice_angstrom": [[4.6885, 0.0000, 0.0000], [0.0000, 4.7678, 0.0000], [0.0000, 0.0000, 16.7401]],
  "species": ["Tb", "Tb", "Sm", "Sm", "Sm", "Sm", "Sm", "Sm", "Tl", "Tl", "Tl", "Tl", "O", "O"],
  "frac_coords": [[0.0000, 0.0000, 0.0000], [0.5000, 0.5000, 0.5000], [0.0000, 0.0000, 0.5000], [0.0000, 0.5000, 0.3282], [0.0000, 0.5000, 0.6718], [0.5000, 0.0000, 0.1718], [0.5000, 0.0000, 0.8282], [0.5000, 0.5000, 0.0000], [0.0000, 0.5000, 0.1386], [0.0000, 0.5000, 0.8614], [0.5000, 0.0000, 0.3614], [0.5000, 0.0000, 0.6386], [0.0000, 0.5000, 0.5000], [0.5000, 0.0000, 0.0000]]
}

[7]
{
  "formula": "Tb4Sm2Tl3O2",
  "functional": "GGA-PBE",
  "state": "optimized geometry",
  "e_tot_ev_per_atom": -5.3426,
  "m_tot_mub_per_fu": 0.00,
  "e_form_raw_ev_per_atom": -1.2540,
  "lattice_angstrom": [[-2.3614, 2.3614, 12.6002], [2.3614, -2.3614, 12.6002], [2.3614, 2.3614, -12.6002]],
  "species": ["Tb", "Tb", "Tb", "Tb", "Sm", "Sm", "Tl", "Tl", "Tl", "O", "O"],
  "frac_coords": [[0.0845, 0.5845, 0.5000], [0.4155, 0.9155, 0.5000], [0.5845, 0.0845, 0.5000], [0.9155, 0.4155, 0.5000], [0.1967, 0.1967, 0.0000], [0.8033, 0.8033, 0.0000], [0.3248, 0.3248, 0.0000], [0.5000, 0.5000, 0.0000], [0.6752, 0.6752, 0.0000], [0.0994, 0.0994, 0.0000], [0.9006, 0.9006, 0.0000]]
}

[8]
{
  "formula": "Tb2SmTlO",
  "functional": "GGA-PBE",
  "state": "optimized geometry",
  "e_tot_ev_per_atom": -5.6233,
  "m_tot_mub_per_fu": 0.00,
  "e_form_raw_ev_per_atom": -1.3625,
  "lattice_angstrom": [[4.8085, 0.0000, 0.0000], [0.0000, 4.8085, 0.0000], [0.0000, 0.0000, 4.9273]],
  "species": ["Tb", "Tb", "Sm", "Tl", "O"],
  "frac_coords": [[0.0000, 0.5000, 0.0000], [0.5000, 0.0000, 0.0000], [0.0000, 0.0000, 0.5000], [0.5000, 0.5000, 0.5000], [0.0000, 0.0000, 0.0000]]
}

[9]
{
  "formula": "TbSm2UO8",
  "functional": "GGA-PBE",
  "state": "optimized geometry",
  "e_tot_ev_per_atom": -8.6500,
  "m_tot_mub_per_fu": 0.00,
  "e_form_raw_ev_per_atom": -3.2315,
  "lattice_angstrom": [[3.9003, 0.0000, 0.0000], [0.0000, 5.4482, 0.0000], [0.0000, 0.0000, 7.6193]],
  "species": ["Tb", "Sm", "Sm", "U", "O", "O", "O", "O", "O", "O", "O", "O"],
  "frac_coords": [[0.0000, 0.0000, 0.0000], [0.5000, 0.5000, 0.2503], [0.5000, 0.5000, 0.7497], [0.0000, 0.0000, 0.5000], [0.0000, 0.2361, 0.2739], [0.0000, 0.2361, 0.7261], [0.0000, 0.7639, 0.2739], [0.0000, 0.7639, 0.7261], [0.5000, 0.2260, 0.5000], [0.5000, 0.2462, 0.0000], [0.5000, 0.7538, 0.0000], [0.5000, 0.7740, 0.5000]]
}

[10]
{
  "formula": "Tb2SmUO8",
  "functional": "GGA-PBE",
  "state": "optimized geometry",
  "e_tot_ev_per_atom": -8.6702,
  "m_tot_mub_per_fu": 0.00,
  "e_form_raw_ev_per_atom": -3.2591,
  "lattice_angstrom": [[3.9011, 0.0000, 0.0000], [0.0000, 5.3737, 0.0000], [0.0000, 0.0000, 7.6035]],
  "species": ["Tb", "Tb", "Sm", "U", "O", "O", "O", "O", "O", "O", "O", "O"],
  "frac_coords": [[0.0000, 0.0000, 0.2476], [0.0000, 0.0000, 0.7524], [0.5000, 0.5000, 0.5000], [0.5000, 0.5000, 0.0000], [0.0000, 0.2432, 0.5000], [0.0000, 0.2702, 0.0000], [0.0000, 0.7298, 0.0000], [0.0000, 0.7568, 0.5000], [0.5000, 0.2580, 0.2241], [0.5000, 0.2580, 0.7759], [0.5000, 0.7420, 0.2241], [0.5000, 0.7420, 0.7759]]
}

[11]
{
  "formula": "TbSmUO6",
  "functional": "GGA-PBE",
  "state": "optimized geometry",
  "e_tot_ev_per_atom": -8.8957,
  "m_tot_mub_per_fu": 0.00,
  "e_form_raw_ev_per_atom": -3.2972,
  "lattice_angstrom": [[5.8672, 0.0000, 0.0000], [-2.9336, 5.0812, 0.0000], [0.0000, 0.0000, 9.3218]],
  "species": ["Tb", "Tb", "Sm", "Sm", "U", "U", "O", "O", "O", "O", "O", "O", "O", "O", "O", "O", "O", "O"],
  "frac_coords": [[0.0000, 0.0000, 0.0000], [0.0000, 0.0000, 0.5000], [0.3333, 0.6667, 0.2500], [0.6667, 0.3333, 0.7500], [0.3333, 0.6667, 0.7500], [0.6667, 0.3333, 0.2500], [0.0313, 0.3569, 0.6328], [0.0313, 0.6744, 0.8672], [0.3256, 0.3569, 0.8672], [0.3256, 0.9687, 0.6328], [0.3569, 0.0313, 0.1328], [0.3569, 0.3256, 0.3672], [0.6431, 0.6744, 0.6328], [0.6431, 0.9687, 0.8672], [0.6744, 0.0313, 0.3672], [0.6744, 0.6431, 0.1328], [0.9687, 0.3256, 0.1328], [0.9687, 0.6431, 0.3672]]
}

[12]
{
  "formula": "Sm4Tc6O19",
  "functional": "GGA-PBE",
  "state": "optimized geometry",
  "e_tot_ev_per_atom": -8.1549,
  "m_tot_mub_per_fu": 0.00,
  "e_form_raw_ev_per_atom": -2.1108,
  "lattice_angstrom": [[-4.5296, 4.5296, 4.5296], [4.5296, -4.5296, 4.5296], [4.5296, 4.5296, -4.5296]],
  "species": ["Sm", "Sm", "Sm", "Sm", "Tc", "Tc", "Tc", "Tc", "Tc", "Tc", "O", "O", "O", "O", "O", "O", "O", "O", "O", "O", "O", "O", "O", "O", "O", "O", "O", "O", "O"],
  "frac_coords": [[0.0000, 0.0000, 0.3014], [0.0000, 0.3014, 0.0000], [0.3014, 0.0000, 0.0000], [0.6986, 0.6986, 0.6986], [0.1334, 0.5000, 0.6334], [0.3666, 0.8666, 0.5000], [0.5000, 0.3666, 0.8666], [0.5000, 0.6334, 0.1334], [0.6334, 0.1334, 0.5000], [0.8666, 0.5000, 0.3666], [0.0000, 0.0000, 0.0000], [0.0000, 0.3194, 0.3194], [0.0000, 0.6806, 0.6806], [0.0591, 0.7288, 0.3540], [0.2712, 0.3303, 0.6252], [0.2949, 0.6697, 0.9409], [0.3194, 0.0000, 0.3194], [0.3194, 0.3194, 0.0000], [0.3303, 0.6252, 0.2712], [0.3540, 0.0591, 0.7288], [0.3748, 0.7051, 0.6460], [0.6252, 0.2712, 0.3303], [0.6460, 0.3748, 0.7051], [0.6697, 0.9409, 0.2949], [0.6806, 0.0000, 0.6806], [0.6806, 0.6806, 0.0000], [0.7051, 0.6460, 0.3748], [0.7288, 0.3540, 0.0591], [0.9409, 0.2949, 0.6697]]
}

[13]
{
  "formula": "SmTc2O8",
  "functional": "GGA-PBE",
  "state": "optimized geometry",
  "e_tot_ev_per_atom": -7.6641,
  "m_tot_mub_per_fu": 1.03,
  "e_form_raw_ev_per_atom": -1.7444,
  "lattice_angstrom": [[4.5939, -4.3715, 0.0000], [4.5939, 4.3715, 0.0000], [-0.7762, 0.0000, 5.6772]],
  "species": ["Sm", "Tc", "Tc", "O", "O", "O", "O", "O", "O", "O", "O"],
  "frac_coords": [[0.0000, 0.0000, 0.0000], [0.2349, 0.2349, 0.6395], [0.7651, 0.7651, 0.3605], [0.0025, 0.6996, 0.2187], [0.1756, 0.1756, 0.3301], [0.3004, 0.9975, 0.7813], [0.4211, 0.4211, 0.7190], [0.5789, 0.5789, 0.2810], [0.6996, 0.0025, 0.2187], [0.8244, 0.8244, 0.6699], [0.9975, 0.3004, 0.7813]]
}

[14]
{
  "formula": "Sm2Tc2O7",
  "functional": "GGA-PBE",
  "state": "optimized geometry",
  "relative_energy_mev_per_atom": 352,
  "e_tot_ev_per_atom": -7.8769,
  "m_tot_mub_per_fu": 0.87,
  "e_form_raw_ev_per_atom": -1.9789,
  "lattice_angstrom": [[3.5446, -3.7704, 0.0000], [3.5446, 3.7704, 0.0000], [0.0000, 0.0000, 5.1703]],
  "species": ["Sm", "Sm", "Tc", "Tc", "O", "O", "O", "O", "O", "O", "O"],
  "frac_coords": [[0.2477, 0.2477, 0.0000], [0.7523, 0.7523, 0.0000], [0.2376, 0.7624, 0.5000], [0.7624, 0.2376, 0.5000], [0.0000, 0.0000, 0.2786], [0.0000, 0.0000, 0.7214], [0.0000, 0.5000, 0.2696], [0.0000, 0.5000, 0.7304], [0.5000, 0.0000, 0.2696], [0.5000, 0.0000, 0.7304], [0.5000, 0.5000, 0.5000]]
}

[15]
{
  "formula": "Sm6TcO12",
  "functional": "GGA-PBE",
  "state": "optimized geometry",
  "e_tot_ev_per_atom": -8.1866,
  "m_tot_mub_per_fu": 1.01,
  "e_form_raw_ev_per_atom": -3.0193,
  "lattice_angstrom": [[5.0226, 2.8998, 3.2140], [-5.0226, 2.8998, 3.2140], [0.0000, -5.7996, 3.2140]],
  "species": ["Sm", "Sm", "Sm", "Sm", "Sm", "Sm", "Tc", "O", "O", "O", "O", "O", "O", "O", "O", "O", "O", "O", "O"],
  "frac_coords": [[0.1120, 0.6441, 0.8107], [0.1893, 0.8880, 0.3559], [0.3559, 0.1893, 0.8880], [0.6441, 0.8107, 0.1120], [0.8107, 0.1120, 0.6441], [0.8880, 0.3559, 0.1893], [0.5000, 0.5000, 0.5000], [0.0620, 0.3226, 0.9082], [0.0918, 0.9380, 0.6774], [0.2090, 0.5332, 0.4299], [0.3226, 0.9082, 0.0620], [0.4299, 0.2090, 0.5332], [0.4668, 0.5701, 0.7910], [0.5332, 0.4299, 0.2090], [0.5701, 0.7910, 0.4668], [0.6774, 0.0918, 0.9380], [0.7910, 0.4668, 0.5701], [0.9082, 0.0620, 0.3226], [0.9380, 0.6774, 0.0918]]
}

[16]
{
  "formula": "SmTcO6",
  "functional": "GGA-PBE",
  "state": "optimized geometry",
  "e_tot_ev_per_atom": -7.1270,
  "m_tot_mub_per_fu": 0.00,
  "e_form_raw_ev_per_atom": -1.5227,
  "lattice_angstrom": [[6.6331, 0.0000, 0.0000], [0.0000, 7.7862, 0.0000], [-0.3120, 0.0000, 3.8794]],
  "species": ["Sm", "Sm", "Tc", "Tc", "O", "O", "O", "O", "O", "O", "O", "O", "O", "O", "O", "O"],
  "frac_coords": [[0.0000, 0.0000, 0.0000], [0.5000, 0.5000, 0.0000], [0.0000, 0.5000, 0.5000], [0.5000, 0.0000, 0.5000], [0.0281, 0.3000, 0.8213], [0.0281, 0.7000, 0.8213], [0.2194, 0.0000, 0.5245], [0.2806, 0.5000, 0.4755], [0.4719, 0.2000, 0.1787], [0.4719, 0.8000, 0.1787], [0.5281, 0.2000, 0.8213], [0.5281, 0.8000, 0.8213], [0.7194, 0.5000, 0.5245], [0.7806, 0.0000, 0.4755], [0.9719, 0.3000, 0.1787], [0.9719, 0.7000, 0.1787]]
}

[17]
{
  "formula": "Sm2Tc2O7",
  "functional": "GGA-PBE",
  "state": "optimized geometry",
  "relative_energy_mev_per_atom": 0,
  "e_tot_ev_per_atom": -8.2285,
  "m_tot_mub_per_fu": 6.00,
  "e_form_raw_ev_per_atom": -2.3306,
  "lattice_angstrom": [[0.0000, 5.2286, 5.2286], [5.2286, 0.0000, 5.2286], [5.2286, 5.2286, 0.0000]],
  "species": ["Sm", "Sm", "Sm", "Sm", "Tc", "Tc", "Tc", "Tc", "O", "O", "O", "O", "O", "O", "O", "O", "O", "O", "O", "O", "O", "O"],
  "frac_coords": [[0.0000, 0.0000, 0.0000], [0.0000, 0.0000, 0.5000], [0.0000, 0.5000, 0.0000], [0.5000, 0.0000, 0.0000], [0.0000, 0.5000, 0.5000], [0.5000, 0.0000, 0.5000], [0.5000, 0.5000, 0.0000], [0.5000, 0.5000, 0.5000], [0.1250, 0.1250, 0.1250], [0.1656, 0.1656, 0.5844], [0.1656, 0.5844, 0.1656], [0.1656, 0.5844, 0.5844], [0.4156, 0.4156, 0.8344], [0.4156, 0.8344, 0.4156], [0.4156, 0.8344, 0.8344], [0.5844, 0.1656, 0.1656], [0.5844, 0.1656, 0.5844], [0.5844, 0.5844, 0.1656], [0.8344, 0.4156, 0.4156], [0.8344, 0.4156, 0.8344], [0.8344, 0.8344, 0.4156], [0.8750, 0.8750, 0.8750]]
}

[18]
{
  "formula": "SmTl2TcO6",
  "functional": "GGA-PBE",
  "state": "optimized geometry",
  "e_tot_ev_per_atom": -6.4657,
  "m_tot_mub_per_fu": 0.00,
  "e_form_raw_ev_per_atom": -1.5090,
  "lattice_angstrom": [[6.4416, 0.0000, 0.0000], [-3.2208, 5.5786, 0.0000], [0.0000, 0.0000, 5.9237]],
  "species": ["Sm", "Tl", "Tl", "Tc", "O", "O", "O", "O", "O", "O"],
  "frac_coords": [[0.0000, 0.0000, 0.0000], [0.3333, 0.6667, 0.5281], [0.6667, 0.3333, 0.4719], [0.0000, 0.0000, 0.5000], [0.1366, 0.2731, 0.3032], [0.1366, 0.8634, 0.3032], [0.2731, 0.1366, 0.6968], [0.7269, 0.8634, 0.3032], [0.8634, 0.1366, 0.6968], [0.8634, 0.7269, 0.6968]]
}